Computed, not measured: crystalline Ca2Mg2Cu at its relaxed geometry at the GGA-PBE level of DFT.

POSCAR file:
```
Ca2Mg2Cu
1.0
2.5403 -4.2450 0.0000
2.5403 4.2450 0.0000
0.0000 0.0000 7.2928
Ca Mg Cu
2 2 1
Direct
0.5000 0.5000 0.2598 Ca
0.5000 0.5000 0.7402 Ca
0.1671 0.8329 0.0000 Mg
0.8329 0.1671 0.0000 Mg
0.0000 0.0000 0.5000 Cu
```

Values from the calculation:
- Energy relative to the lowest polymorph listed for this composition: 331 meV per atom
- ΔE_f: 246 meV per atom
- Symmetry: No. 65
- Size of the total moment: 0.000 μB/atom

***

Computed, not measured: crystalline Li2SbAu2 at its relaxed geometry at the GGA-PBE level of DFT.

POSCAR file:
```
Li2SbAu2
1.0
-0.5352 2.3426 7.1364
4.9725 -5.2516 2.0969
2.3869 2.0614 -0.4977
Au Li Sb
4 4 2
Direct
0.6359 0.1359 0.0000 Au
0.1359 0.3641 0.0000 Au
0.8641 0.6359 0.0000 Au
0.3641 0.8641 0.0000 Au
0.6591 0.8409 0.5000 Li
0.8409 0.3409 0.5000 Li
0.3409 0.1591 0.5000 Li
0.1591 0.6591 0.5000 Li
0.5000 0.5000 0.0000 Sb
0.0000 0.0000 0.0000 Sb
```

Values from the calculation:
- Energy relative to the lowest polymorph listed for this composition: 0 meV per atom
- Raw formation energy: -446 meV/atom
- Symmetry: No. 127
- Size of the total moment: 0.000 μB/atom

***

Computed, not measured: crystalline AlTc3Bi at its relaxed geometry at the GGA-PBE level of DFT.

POSCAR file:
```
AlTc3Bi
1.0
-1.8983 0.3487 4.1307
-1.0825 -4.4273 -0.1238
4.0016 -1.0323 1.9260
Tc Al Bi
3 1 1
Direct
0.5000 0.0000 0.0000 Tc
0.0000 0.0000 0.5000 Tc
0.0000 0.5000 0.0000 Tc
0.0000 0.0000 0.0000 Al
0.5000 0.5000 0.5000 Bi
```

Values from the calculation:
- Energy relative to the lowest polymorph listed for this composition: 0 meV per atom
- ΔE_f: 1149 meV per atom
- Symmetry: No. 221
- Size of the total moment: 0.483 μB/atom

***

Computed, not measured: crystalline NdHoNiAu at its relaxed geometry at the GGA-PBE level of DFT.

POSCAR file:
```
NdHoNiAu
1.0
-3.5003 2.3066 2.7907
-4.6477 0.6532 -1.8256
-3.8457 -2.6380 1.9006
Au Ho Ni Nd
1 1 1 1
Direct
0.7500 0.7500 0.7500 Au
0.5000 0.5000 0.5000 Ho
0.2500 0.2500 0.2500 Ni
0.0000 0.0000 0.0000 Nd
```

Values from the calculation:
- ΔE_f: -524 meV per atom
- Symmetry: No. 216
- Size of the total moment: 0.000 μB/atom

***

Computed, not measured: crystalline Ca2TaCd at its relaxed geometry at the GGA-PBE level of DFT.

POSCAR file:
```
Ca2TaCd
1.0
3.2539 0.0054 0.0000
-0.0026 3.2540 0.0000
0.0000 0.0000 9.6633
Cd Ca Ta
1 2 1
Direct
0.5000 0.5000 0.2500 Cd
0.0000 0.0000 0.9948 Ca
0.0000 0.0000 0.5052 Ca
0.5000 0.5000 0.7500 Ta
```

Values from the calculation:
- ΔE_f: 345 meV per atom
- Symmetry: No. 123
- Size of the total moment: 0.000 μB/atom

***

Computed, not measured: crystalline Hf2ScMnC at its relaxed geometry at the GGA-PBE level of DFT.

POSCAR file:
```
Hf2ScMnC
1.0
4.9972 0.0000 0.0000
0.0000 3.9588 0.0000
0.0000 0.0000 4.9972
Hf Mn C Sc
2 1 1 1
Direct
0.0000 0.0000 0.5000 Hf
0.5000 0.0000 0.0000 Hf
0.5000 0.5000 0.5000 Mn
0.0000 0.5000 0.0000 C
0.0000 0.0000 0.0000 Sc
```

Values from the calculation:
- ΔE_f: 2021 meV per atom
- Symmetry: No. 123
- Size of the total moment: 0.006 μB/atom

***

Computed, not measured: crystalline HgOsI2 at its relaxed geometry at the GGA-PBE level of DFT.

POSCAR file:
```
HgOsI2
1.0
5.2032 -0.1631 0.6457
2.0661 0.5315 4.7922
2.2209 -4.1190 2.3702
I Hg Os
2 1 1
Direct
0.2500 0.2500 0.2500 I
0.7500 0.7500 0.7500 I
0.5000 0.5000 0.5000 Hg
0.0000 0.0000 0.0000 Os
```

Values from the calculation:
- Energy relative to the lowest polymorph listed for this composition: 683 meV per atom
- Raw formation energy: 1335 meV/atom
- Symmetry: No. 225
- Size of the total moment: 0.661 μB/atom

***

Computed, not measured: crystalline SrCd3 at its relaxed geometry at the GGA-PBE level of DFT.

POSCAR file:
```
SrCd3
1.0
-0.5972 -2.8711 3.7681
-3.8142 -3.3060 -3.1235
5.9236 -4.4894 -2.4818
Cd Sr
6 2
Direct
0.5000 0.2500 0.3717 Cd
0.5000 0.5000 0.0000 Cd
0.0000 0.7500 0.8686 Cd
0.5000 0.7500 0.6283 Cd
0.5000 0.0000 0.0000 Cd
0.0000 0.2500 0.1314 Cd
0.0000 0.7500 0.3218 Sr
0.0000 0.2500 0.6782 Sr
```

Values from the calculation:
- ΔE_f: -254 meV per atom
- Symmetry: No. 51
- Size of the total moment: 0.000 μB/atom